[1]
# GGA-PBE Be2Co2B, optimized geometry
data_Be2Co2B
_chemical_formula_sum 'Be6 Co6 B3'
_cell_length_a 3.4554
_cell_length_b 3.4554
_cell_length_c 11.7484
_cell_angle_alpha 90.00
_cell_angle_beta 90.00
_cell_angle_gamma 120.00
_symmetry_space_group_name_H-M 'R -3 m'
_symmetry_Int_Tables_number 166
_symmetry_space_group_name_Hall '-R 3 2"'
loop_
_atom_site_label
_atom_site_type_symbol
_atom_site_fract_x
_atom_site_fract_y
_atom_site_fract_z
_atom_site_occupancy
Be1 Be 0.0000 0.0000 0.1819 1
Co1 Co 0.0000 0.0000 0.3964 1
B1 B 0.0000 0.0000 0.0000 1
# * formation energy from the elements: -230 meV/atom
# * size of the total moment: 0.6 μB per formula unit
# * volume: 8.098 A^3/atom

[2]
# GGA-PBE Ni9SnSb2, optimized geometry
data_Ni9SnSb2
_chemical_formula_sum 'Ni9 Sn1 Sb2'
_cell_length_a 3.732
_cell_length_b 3.732
_cell_length_c 11.186
_cell_angle_alpha 90.00
_cell_angle_beta 90.00
_cell_angle_gamma 90.00
_symmetry_space_group_name_H-M 'P 4/m m m'
_symmetry_Int_Tables_number 123
_symmetry_space_group_name_Hall '-P 4 2'
loop_
_atom_site_label
_atom_site_type_symbol
_atom_site_fract_x
_atom_site_fract_y
_atom_site_fract_z
_atom_site_occupancy
Ni1 Ni 0.000 0.000 0.000 1
Ni2 Ni 0.000 0.000 0.335 1
Ni3 Ni 0.000 0.500 0.168 1
Ni4 Ni 0.000 0.500 0.500 1
Sn1 Sn 0.500 0.500 0.000 1
Sb1 Sb 0.500 0.500 0.333 1
# * size of the total moment: 0.0 μB per formula unit
# * formation energy from raw total energies: -160 meV/atom
# * volume: 12.984 A^3/atom

[3]
# GGA-PBE Ba2ScSb, optimized geometry
data_Ba2ScSb
_chemical_formula_sum 'Ba2 Sc1 Sb1'
_cell_length_a 5.272
_cell_length_b 5.272
_cell_length_c 5.156
_cell_angle_alpha 90.00
_cell_angle_beta 90.00
_cell_angle_gamma 90.00
_symmetry_space_group_name_H-M 'P 4/m m m'
_symmetry_Int_Tables_number 123
_symmetry_space_group_name_Hall '-P 4 2'
loop_
_atom_site_label
_atom_site_type_symbol
_atom_site_fract_x
_atom_site_fract_y
_atom_site_fract_z
_atom_site_occupancy
Ba1 Ba 0.000 0.500 0.000 1
Sc1 Sc 0.000 0.000 0.500 1
Sb1 Sb 0.500 0.500 0.500 1
# * size of the total moment: 1.5 μB per formula unit
# * formation energy from raw total energies: -246 meV/atom
# * volume: 35.827 A^3/atom

[4]
# GGA-PBE Ca2BeFeAs, optimized geometry
data_Ca2BeFeAs
_chemical_formula_sum 'Ca2 Be1 Fe1 As1'
_cell_length_a 5.240
_cell_length_b 5.240
_cell_length_c 4.168
_cell_angle_alpha 90.00
_cell_angle_beta 90.00
_cell_angle_gamma 90.00
_symmetry_space_group_name_H-M 'P 4/m m m'
_symmetry_Int_Tables_number 123
_symmetry_space_group_name_Hall '-P 4 2'
loop_
_atom_site_label
_atom_site_type_symbol
_atom_site_fract_x
_atom_site_fract_y
_atom_site_fract_z
_atom_site_occupancy
Ca1 Ca 0.000 0.500 0.000 1
Be1 Be 0.000 0.000 0.500 1
Fe1 Fe 0.000 0.000 0.000 1
As1 As 0.500 0.500 0.500 1
# * formation energy from the elements: 354 meV/atom
# * size of the total moment: 2.0 μB per formula unit
# * volume: 22.892 A^3/atom

[5]
# GGA-PBE LiAl2ZnAu4, optimized geometry
data_LiAl2ZnAu4
_chemical_formula_sum 'Li3 Al6 Zn3 Au12'
_cell_length_a 4.4738
_cell_length_b 4.4738
_cell_length_c 22.2016
_cell_angle_alpha 90.00
_cell_angle_beta 90.00
_cell_angle_gamma 120.00
_symmetry_space_group_name_H-M 'R -3 m'
_symmetry_Int_Tables_number 166
_symmetry_space_group_name_Hall '-R 3 2"'
loop_
_atom_site_label
_atom_site_type_symbol
_atom_site_fract_x
_atom_site_fract_y
_atom_site_fract_z
_atom_site_occupancy
Li1 Li 0.0000 0.0000 0.0000 1
Al1 Al 0.0000 0.0000 0.2529 1
Zn1 Zn 0.0000 0.0000 0.5000 1
Au1 Au 0.0000 0.0000 0.1236 1
Au2 Au 0.0000 0.0000 0.3748 1
# * formation energy from the elements: -409 meV/atom
# * size of the total moment: 0.0 μB per formula unit
# * volume: 16.035 A^3/atom

[6]
# GGA-PBE SiWC3, optimized geometry
data_SiWC3
_chemical_formula_sum 'Si1 W1 C3'
_cell_length_a 3.684
_cell_length_b 3.684
_cell_length_c 3.684
_cell_angle_alpha 90.00
_cell_angle_beta 90.00
_cell_angle_gamma 90.00
_symmetry_space_group_name_H-M 'P m -3 m'
_symmetry_Int_Tables_number 221
_symmetry_space_group_name_Hall '-P 4 2 3'
loop_
_atom_site_label
_atom_site_type_symbol
_atom_site_fract_x
_atom_site_fract_y
_atom_site_fract_z
_atom_site_occupancy
Si1 Si 0.000 0.000 0.000 1
W1 W 0.500 0.500 0.500 1
C1 C 0.000 0.000 0.500 1
# * distance to the lowest polymorph of the same formula: 0.049 eV per atom
# * size of the total moment: 0.0 μB per formula unit
# * formation energy from raw total energies: 2082 meV/atom
# * volume: 10.002 A^3/atom